No. 1
The following is a DFT calculation (GGA-PBE) of an optimized crystal structure of Cs2In5Pb3.

Unit cell a=10.5565 b=10.5565 c=10.5565 alpha=107.20 beta=87.68 gamma=138.14
With the nearest neighbours (Å) after each atom.
Fractional positions:
1 Cs 0.1239 0.2492 0.3731  6 Pb 4.05-4.11, 10 In 4.07-4.18
2 Cs 0.3761 0.7492 0.1253  6 Pb 4.05-4.11, 10 In 4.07-4.18
3 Cs 0.6239 0.2508 0.8747  6 Pb 4.05-4.11, 10 In 4.07-4.18
4 Cs 0.8761 0.7508 0.6269  6 Pb 4.05-4.11, 10 In 4.07-4.18
5 In 0.0020 0.7500 0.2520  2 In 3.06, 2 Pb 3.13
6 In 0.1305 0.8765 0.0069  2 In 3.06, 3 Pb 3.06-3.15
7 In 0.2500 0.7500 0.5000  4 Pb 3.15
8 In 0.3695 0.3765 0.7460  2 In 3.06, 3 Pb 3.06-3.15
9 In 0.4980 0.7500 0.7480  2 In 3.06, 2 Pb 3.13
10 In 0.5020 0.2500 0.2520  2 In 3.06, 2 Pb 3.13
11 In 0.6305 0.6235 0.2540  2 In 3.06, 3 Pb 3.06-3.15
12 In 0.7500 0.2500 0.5000  4 Pb 3.15
13 In 0.8695 0.1235 0.9931  2 In 3.06, 3 Pb 3.06-3.15
14 In 0.9980 0.2500 0.7480  2 In 3.06, 2 Pb 3.13
15 Pb 0.1253 0.6320 0.7573  5 In 3.06-3.15
16 Pb 0.2500 0.2500 0.0000  4 In 3.15
17 Pb 0.3747 0.1320 0.5067  5 In 3.06-3.15
18 Pb 0.6253 0.8680 0.4933  5 In 3.06-3.15
19 Pb 0.7500 0.7500 0.0000  4 In 3.15
20 Pb 0.8747 0.3680 0.2427  5 In 3.06-3.15

Computed properties:
Theoretical density   6.75 g/cm3
ΔE to the lowest computed polymorph   0.0 meV per atom
Fermi-level density of states   0.46 states/eV/atom
Uncorrected energy   -2.768 eV per atom
Symmetry   No. 72
Energy relative to the elements   -0.116 eV per atom

No. 2
The following is a DFT calculation (GGA-PBE) of an optimized crystal structure of CsIn2Pb3.

Unit cell a=8.7500 b=8.7500 c=6.1425 alpha=90.00 beta=90.00 gamma=78.78
With the nearest neighbours (Å) after each atom.
Fractional positions:
1 Cs 0.1696 0.8304 0.7500  9 Pb 4.08-4.41, 4 In 4.48
2 Cs 0.8304 0.1696 0.2500  9 Pb 4.08-4.41, 4 In 4.48
3 In 0.2779 0.2779 0.0000  2 In 3.07, 4 Pb 3.25-3.35
4 In 0.2779 0.2779 0.5000  2 In 3.07, 4 Pb 3.25-3.35
5 In 0.7221 0.7221 0.0000  2 In 3.07, 4 Pb 3.25-3.35
6 In 0.7221 0.7221 0.5000  2 In 3.07, 4 Pb 3.25-3.35
7 Pb 0.0434 0.5736 0.2500  4 In 3.25-3.35, 3 Pb 3.40-3.47
8 Pb 0.4264 0.9566 0.2500  4 In 3.25-3.35, 3 Pb 3.40-3.47
9 Pb 0.4329 0.5671 0.2500  4 Pb 3.40-3.41, 4 In 3.45
10 Pb 0.5671 0.4329 0.7500  4 Pb 3.40-3.41, 4 In 3.45
11 Pb 0.5736 0.0434 0.7500  4 In 3.25-3.35, 3 Pb 3.40-3.47
12 Pb 0.9566 0.4264 0.7500  4 In 3.25-3.35, 3 Pb 3.40-3.47

Computed properties:
Theoretical density   7.09 g/cm3
ΔE to the lowest computed polymorph   0.0 meV per atom
Fermi-level density of states   0.39 states/eV/atom
Uncorrected energy   -2.965 eV per atom
Symmetry   No. 63
Energy relative to the elements   -0.056 eV per atom